1 | # CaErIn | Alexandria via LeMat-Bulk | PBE | relaxed
# density	6.0	Mg/m³
data_CaErIn
_space_group_name_H-M_alt 'P 3 m 1'
_space_group_IT_number 156
_cell_length_a 5.3308
_cell_length_b 5.3308
_cell_length_c 3.6205
_cell_angle_alpha 90.00
_cell_angle_beta 90.00
_cell_angle_gamma 120.00
loop_
_space_group_symop_operation_xyz
'x,y,z'
'-y,x-y,z'
'-x+y,-x,z'
'-y,-x,z'
'-x+y,y,z'
'x,x-y,z'
loop_
_atom_site_label
_atom_site_fract_x
_atom_site_fract_y
_atom_site_fract_z
Ca1 0.0000 0.0000 0.0000
Er1 0.6667 0.3333 0.5604
In1 0.3333 0.6667 0.3180

2 | # CaErIn | Alexandria via LeMat-Bulk | PBE | relaxed
# density	5.8	Mg/m³
data_CaErIn
_space_group_name_H-M_alt 'P -3 m 1'
_space_group_IT_number 164
_space_group_name_Hall '-P 3 2"'
_cell_length_a 5.2572
_cell_length_b 5.2572
_cell_length_c 7.7051
_cell_angle_alpha 90.00
_cell_angle_beta 90.00
_cell_angle_gamma 120.00
loop_
_atom_site_label
_atom_site_fract_x
_atom_site_fract_y
_atom_site_fract_z
Ca1 0.3333 0.6667 0.3741
Er1 0.3333 0.6667 0.8987
In1 0.0000 0.0000 0.2050

2 comes first in stability; the runner-up is 0.047 eV/atom higher.